GGA-PBEsol In3Ir, relaxed; calculated formation energy = -192 meV/atom; space group = Pnma (62); E_tot = -78.16 eV per cell; spin magnetization = 0.000 Bohr magnetons per cell
1.0
5.300 0.000 0.000
0.000 7.438 0.000
0.000 0.000 8.290
In Ir
12 4
direct
0.366 0.829 0.054
0.866 0.671 0.946
0.634 0.171 0.554
0.416 0.511 0.750
0.634 0.171 0.946
0.916 0.989 0.250
0.866 0.671 0.554
0.366 0.829 0.446
0.084 0.011 0.750
0.584 0.489 0.250
0.134 0.329 0.054
0.134 0.329 0.446
0.436 0.126 0.250
0.936 0.374 0.750
0.564 0.874 0.750
0.064 0.626 0.250


GGA-PBEsol CaCo2Br, relaxed; space group = Pm (6); E_tot = -19.56 eV per cell; excess energy over the best structure of this formula in the dataset = 0.000 eV per atom; spin magnetization = 3.298 Bohr magnetons per cell
1.0
3.281 0.000 -0.043
0.000 3.257 0.000
-1.528 0.000 7.120
Co Br Ca
2 1 1
direct
0.974 0.000 0.071
0.510 0.500 0.144
0.698 0.000 0.521
0.318 0.500 0.764


GGA-PBEsol ZrIN2Cl, relaxed; space group = P4/mmm (123); E_tot = -27.99 eV per cell; spin magnetization = 0.001 Bohr magnetons per cell
1.0
-3.535 1.412 1.554
1.270 -0.985 3.784
2.522 5.632 0.619
Cl N Zr I
1 2 1 1
direct
0.500 0.500 0.500
0.500 0.000 0.000
0.000 0.500 0.000
0.000 0.000 0.000
0.000 0.000 0.500


GGA-PBEsol InGaN2, relaxed; space group = I-42d (122); E_tot = -49.20 eV per cell; spin magnetization = 0.000 Bohr magnetons per cell
1.0
4.761 0.000 0.000
0.000 4.761 0.000
-2.381 -2.381 4.680
In N Ga
2 4 2
direct
0.000 0.000 0.000
0.250 0.750 0.500
0.125 0.161 0.750
0.625 0.589 0.750
0.411 0.875 0.250
0.839 0.375 0.250
0.750 0.250 0.500
0.500 0.500 0.000


GGA-PBEsol AlHgSbTe2, relaxed; space group = P4/mmm (123); E_tot = -14.52 eV per cell; spin magnetization = 0.000 Bohr magnetons per cell
1.0
5.287 0.000 0.000
0.000 5.279 0.000
0.000 0.000 5.279
Te Al Sb Hg
2 1 1 1
direct
0.000 0.000 0.500
0.000 0.500 0.000
0.000 0.000 0.000
0.500 0.000 0.000
0.500 0.500 0.500


GGA-PBEsol Zn2CSeCl, relaxed; space group = P4/mmm (123); E_tot = -15.77 eV per cell; spin magnetization = 0.000 Bohr magnetons per cell
1.0
3.984 0.000 0.000
0.000 3.984 0.000
0.000 0.000 5.078
C Zn Se Cl
1 2 1 1
direct
0.000 0.000 0.000
0.000 0.500 0.000
0.500 0.000 0.000
0.000 0.000 0.500
0.500 0.500 0.500


GGA-PBEsol BeCoW2, relaxed; calculated formation energy = 184 meV/atom; space group = Pmmm (47); E_tot = -38.62 eV per cell; spin magnetization = 0.285 Bohr magnetons per cell
1.0
3.580 0.000 0.000
0.000 3.582 0.000
0.000 0.000 3.915
W Co Be
2 1 1
direct
0.500 0.000 0.500
0.000 0.000 0.000
0.000 0.500 0.500
0.500 0.500 0.000


GGA-PBEsol BaLa3Ru, relaxed; calculated formation energy = -78 meV/atom; space group = Pmmm (47); E_tot = -28.75 eV per cell; excess energy over the best structure of this formula in the dataset = 0.000 eV per atom; spin magnetization = 0.001 Bohr magnetons per cell
1.0
-1.825 3.610 -0.608
-3.169 -2.279 -4.024
-5.568 -1.896 5.458
La Ru Ba
3 1 1
direct
0.000 0.000 0.235
0.000 0.000 0.765
0.500 0.500 0.000
0.500 0.000 0.000
0.500 0.500 0.500


GGA-PBEsol TiRuS2, relaxed; space group = Fm-3m (225); E_tot = -29.67 eV per cell; excess energy over the best structure of this formula in the dataset = 0.000 eV per atom; spin magnetization = 0.000 Bohr magnetons per cell
1.0
4.203 0.000 0.000
2.102 3.640 0.000
2.102 1.213 3.432
S Ti Ru
2 1 1
direct
0.250 0.250 0.250
0.750 0.750 0.750
0.000 0.000 0.000
0.500 0.500 0.500


GGA-PBEsol Cr2CuTc, relaxed; calculated formation energy = 366 meV/atom; space group = R-3m (166); E_tot = -34.62 eV per cell; spin magnetization = 0.002 Bohr magnetons per cell
1.0
2.580 0.000 0.000
1.290 2.234 0.000
1.290 0.745 8.511
Cr Tc Cu
2 1 1
direct
0.250 0.250 0.251
0.750 0.750 0.749
0.000 0.000 0.000
0.500 0.500 0.500


GGA-PBEsol BeCuSCl2, relaxed; space group = P4/mmm (123); E_tot = -14.84 eV per cell; spin magnetization = 0.000 Bohr magnetons per cell
1.0
4.432 0.000 0.000
0.000 4.432 0.000
0.000 0.000 4.752
Be Cl S Cu
1 2 1 1
direct
0.500 0.500 0.500
0.000 0.500 0.000
0.500 0.000 0.000
0.000 0.000 0.500
0.000 0.000 0.000


GGA-PBEsol ReAsRu2, relaxed; calculated formation energy = 94 meV/atom; space group = P2/m (10); E_tot = -38.41 eV per cell; spin magnetization = 0.000 Bohr magnetons per cell
1.0
-1.040 -2.574 -0.137
1.843 -0.559 -3.483
4.510 -0.646 2.490
As Ru Re
1 2 1
direct
0.500 0.500 0.000
0.877 0.000 0.245
0.123 0.000 0.755
0.500 0.500 0.500